Density functional theory data (PBE) for a relaxed structure of Ca3TaRh.

Lattice parameters (Å, degrees): 5.4777 5.4777 5.4777 90.00 90.00 90.00
Last column: nearest neighbours and their distance in Å.
Positions (direct):
Ca: 0.0000 0.0000 0.5000  2 Ta 2.74
Ca: 0.0000 0.5000 0.0000  2 Ta 2.74
Ca: 0.5000 0.0000 0.0000  2 Ta 2.74
Ta: 0.0000 0.0000 0.0000  6 Ca 2.74
Rh: 0.5000 0.5000 0.5000  12 Ca 3.87

- E_form (meV per atom) = 1517
- symmetry = No. 221
- DOS(E_F) (states/eV/cell) = 10.4